No. 1
Here is a relaxed structure of ThGePd4 from Alexandria. Energies are from PBE.

- Energy relative to the lowest polymorph listed for this composition: 38.6 meV per atom
- Symmetry: F-43m, No. 216
- Formation energy from the elements: -321.1 kJ/mol of formula units

Cell lengths 5.3901, 5.3901, 5.3901 Å; angles 60.00, 60.00, 60.00 degrees
With the nearest neighbours (Å) after each atom.
Sites, in units of the cell vectors:
Th  0.0000  0.0000  0.0000  12 Pd 3.16, 4 Ge 3.30
Ge  0.7500  0.7500  0.7500  12 Pd 3.16, 4 Th 3.30
Pd  0.3753  0.3753  0.3753  6 Pd 2.69-2.70
Pd  0.3753  0.3753  0.8741  6 Pd 2.69-2.70
Pd  0.3753  0.8741  0.3753  6 Pd 2.69-2.70
Pd  0.8741  0.3753  0.3753  6 Pd 2.69-2.70

No. 2
Here is a relaxed structure of RbCeAs2 from Alexandria. Energies are from PBE.

- Energy relative to the lowest polymorph listed for this composition: 22.7 meV per atom
- Symmetry: R3m, No. 160
- Formation energy from the elements: -267.0 kJ/mol of formula units

Cell lengths 8.4154, 8.4154, 8.4154 Å; angles 30.36, 30.36, 30.36 degrees
With the nearest neighbours (Å) after each atom.
Sites, in units of the cell vectors:
Rb  0.0000  0.0000  0.0000  6 As 3.57-3.68
Ce  0.1702  0.1702  0.1702  6 As 2.91-2.92
As  0.5624  0.5624  0.5624  3 Ce 2.91
As  0.7774  0.7774  0.7774  3 Ce 2.92